A plane-wave DFT calculation with PBE-GGA was carried out for a relaxed Pm3TmS6 crystal.

Output
Raw formation energy   -196 kJ per mole of atoms
Distance to the lowest polymorph of the same formula   0.373 eV per formula unit

Lattice parameters (Å, degrees): 6.726 7.338 12.075 90.00 122.88 90.00
Positions (direct):
Pm 0.000 0.000 0.000
Pm 0.000 0.500 0.500
Pm 0.293 0.093 0.753
Pm 0.293 0.407 0.253
Pm 0.707 0.593 0.747
Pm 0.707 0.907 0.247
Tm 0.500 0.000 0.500
Tm 0.500 0.500 0.000
S 0.101 0.063 0.257
S 0.101 0.437 0.757
S 0.266 0.683 0.081
S 0.266 0.817 0.581
S 0.407 0.190 0.080
S 0.407 0.310 0.580
S 0.593 0.690 0.420
S 0.593 0.810 0.920
S 0.734 0.183 0.419
S 0.734 0.317 0.919
S 0.899 0.563 0.243
S 0.899 0.937 0.743


A plane-wave DFT calculation with PBE-GGA was carried out for a relaxed LiMgTcSn2 crystal.

Lattice parameters (Å, degrees): 5.286 5.286 4.918 90.00 90.00 90.00
Positions (direct):
Li 0.000 0.000 0.000
Mg 0.500 0.500 0.500
Tc 0.500 0.500 0.000
Sn 0.000 0.500 0.500
Sn 0.500 0.000 0.500


A plane-wave DFT calculation with PBE-GGA was carried out for a relaxed SmDyPb2 crystal.

Lattice parameters (Å, degrees): 3.570 3.570 9.023 90.00 90.00 90.00
Positions (direct):
Sm 0.000 0.000 0.000
Dy 0.000 0.000 0.500
Pb 0.500 0.500 0.255
Pb 0.500 0.500 0.745


A plane-wave DFT calculation with PBE-GGA was carried out for a relaxed AcAlSn crystal.

Output
Distance to the lowest polymorph of the same formula   0.780 eV per formula unit

Lattice parameters (Å, degrees): 6.557 6.557 6.557 146.43 146.43 48.20
Positions (direct):
Ac 0.000 0.000 0.000
Al 0.689 0.689 0.000
Sn 0.298 0.298 0.000


A plane-wave DFT calculation with PBE-GGA was carried out for a relaxed Sr2ErAg2Se4 crystal.

Output
Raw formation energy   -123 kJ per mole of atoms

Lattice parameters (Å, degrees): 8.273 8.273 7.858 115.22 115.22 28.53
Positions (direct):
Sr 0.138 0.138 0.086
Sr 0.862 0.862 0.914
Er 0.000 0.000 0.500
Ag 0.313 0.313 0.495
Ag 0.687 0.687 0.505
Se 0.194 0.194 0.752
Se 0.490 0.490 0.759
Se 0.510 0.510 0.241
Se 0.806 0.806 0.248


A plane-wave DFT calculation with PBE-GGA was carried out for a relaxed Ba12Rh5Au3 crystal.

Lattice parameters (Å, degrees): 16.250 16.250 16.250 109.47 109.47 109.47
Positions (direct):
Ba 0.033 0.210 0.123
Ba 0.033 0.322 0.910
Ba 0.088 0.710 0.678
Ba 0.088 0.877 0.410
Ba 0.090 0.623 0.412
Ba 0.090 0.967 0.678
Ba 0.123 0.033 0.210
Ba 0.123 0.590 0.912
Ba 0.178 0.210 0.588
Ba 0.178 0.467 0.590
Ba 0.210 0.123 0.033
Ba 0.210 0.588 0.178
Ba 0.290 0.322 0.912
Ba 0.290 0.467 0.377
Ba 0.322 0.910 0.033
Ba 0.322 0.912 0.290
Ba 0.377 0.290 0.467
Ba 0.377 0.588 0.910
Ba 0.410 0.088 0.877
Ba 0.410 0.822 0.533
Ba 0.412 0.090 0.623
Ba 0.412 0.822 0.790
Ba 0.467 0.377 0.290
Ba 0.467 0.590 0.178
Ba 0.533 0.410 0.822
Ba 0.533 0.623 0.710
Ba 0.588 0.178 0.210
Ba 0.588 0.910 0.377
Ba 0.590 0.178 0.467
Ba 0.590 0.912 0.123
Ba 0.623 0.412 0.090
Ba 0.623 0.710 0.533
Ba 0.678 0.088 0.710
Ba 0.678 0.090 0.967
Ba 0.710 0.533 0.623
Ba 0.710 0.678 0.088
Ba 0.790 0.412 0.822
Ba 0.790 0.877 0.967
Ba 0.822 0.533 0.410
Ba 0.822 0.790 0.412
Ba 0.877 0.410 0.088
Ba 0.877 0.967 0.790
Ba 0.910 0.033 0.322
Ba 0.910 0.377 0.588
Ba 0.912 0.123 0.590
Ba 0.912 0.290 0.322
Ba 0.967 0.678 0.090
Ba 0.967 0.790 0.877
Rh 0.000 0.000 0.000
Rh 0.000 0.000 0.500
Rh 0.000 0.500 0.000
Rh 0.000 0.500 0.500
Rh 0.125 0.750 0.875
Rh 0.125 0.875 0.250
Rh 0.250 0.125 0.875
Rh 0.250 0.625 0.375
Rh 0.375 0.250 0.625
Rh 0.375 0.625 0.750
Rh 0.500 0.000 0.000
Rh 0.500 0.000 0.500
Rh 0.500 0.500 0.000
Rh 0.500 0.500 0.500
Rh 0.625 0.375 0.250
Rh 0.625 0.750 0.375
Rh 0.750 0.375 0.625
Rh 0.750 0.875 0.125
Rh 0.875 0.125 0.750
Rh 0.875 0.250 0.125
Au 0.125 0.250 0.375
Au 0.125 0.375 0.750
Au 0.250 0.375 0.125
Au 0.250 0.875 0.625
Au 0.375 0.125 0.250
Au 0.375 0.750 0.125
Au 0.625 0.250 0.875
Au 0.625 0.875 0.750
Au 0.750 0.125 0.375
Au 0.750 0.625 0.875
Au 0.875 0.625 0.250
Au 0.875 0.750 0.625


A plane-wave DFT calculation with PBE-GGA was carried out for a relaxed BaCaO2 crystal.

Output
Raw formation energy   -243 kJ per mole of atoms
Distance to the lowest polymorph of the same formula   0.582 eV per formula unit

Lattice parameters (Å, degrees): 3.758 3.758 5.296 90.00 90.00 90.00
Positions (direct):
Ba 0.000 0.000 0.000
Ca 0.500 0.500 0.500
O 0.000 0.000 0.500
O 0.500 0.500 0.000


A plane-wave DFT calculation with PBE-GGA was carried out for a relaxed DyEr5Sc5 crystal.

Lattice parameters (Å, degrees): 5.759 5.759 11.195 90.00 90.00 120.00
Positions (direct):
Dy 0.000 0.000 0.000
Er 0.000 0.000 0.320
Er 0.000 0.000 0.680
Er 0.333 0.667 0.161
Er 0.333 0.667 0.839
Er 0.667 0.333 0.000
Sc 0.502 0.004 0.500
Sc 0.502 0.498 0.500
Sc 0.667 0.333 0.269
Sc 0.667 0.333 0.731
Sc 0.996 0.498 0.500


A plane-wave DFT calculation with PBE-GGA was carried out for a relaxed Ac6SbRu2 crystal.

Output
Raw formation energy   -23 kJ per mole of atoms

Lattice parameters (Å, degrees): 9.739 9.739 7.891 93.17 93.17 68.24
Positions (direct):
Ac 0.009 0.213 0.123
Ac 0.011 0.397 0.689
Ac 0.213 0.009 0.623
Ac 0.351 0.410 0.104
Ac 0.397 0.011 0.189
Ac 0.410 0.351 0.604
Ac 0.590 0.649 0.396
Ac 0.603 0.989 0.811
Ac 0.649 0.590 0.896
Ac 0.787 0.991 0.377
Ac 0.989 0.603 0.311
Ac 0.991 0.787 0.877
Sb 0.175 0.825 0.250
Sb 0.825 0.175 0.750
Ru 0.200 0.291 0.379
Ru 0.291 0.200 0.879
Ru 0.709 0.800 0.121
Ru 0.800 0.709 0.621


A plane-wave DFT calculation with PBE-GGA was carried out for a relaxed FeHgS2 crystal.

Output
Raw formation energy   -19 kJ per mole of atoms

Lattice parameters (Å, degrees): 7.762 7.762 7.762 25.13 25.13 25.13
Positions (direct):
Fe 0.000 0.000 0.000
Hg 0.500 0.500 0.500
S 0.384 0.384 0.384
S 0.616 0.616 0.616


A plane-wave DFT calculation with PBE-GGA was carried out for a relaxed CaLa2TlO6 crystal.

Output
Raw formation energy   -230 kJ per mole of atoms

Lattice parameters (Å, degrees): 5.825 6.053 10.527 90.00 121.70 90.00
Positions (direct):
Ca 0.000 0.000 0.000
Ca 0.000 0.500 0.500
La 0.280 0.056 0.755
La 0.280 0.444 0.255
La 0.720 0.556 0.745
La 0.720 0.944 0.245
Tl 0.500 0.000 0.500
Tl 0.500 0.500 0.000
O 0.105 0.073 0.249
O 0.105 0.427 0.749
O 0.293 0.702 0.084
O 0.293 0.798 0.584
O 0.384 0.207 0.078
O 0.384 0.293 0.578
O 0.616 0.707 0.422
O 0.616 0.793 0.922
O 0.707 0.202 0.416
O 0.707 0.298 0.916
O 0.895 0.573 0.251
O 0.895 0.927 0.751


A plane-wave DFT calculation with PBE-GGA was carried out for a relaxed NaSm3Tm2Te6 crystal.

Output
Raw formation energy   -126 kJ per mole of atoms

Lattice parameters (Å, degrees): 9.884 9.884 8.864 103.50 103.50 25.56
Positions (direct):
Na 0.000 0.000 0.000
Sm 0.000 0.000 0.500
Sm 0.340 0.340 0.180
Sm 0.660 0.660 0.820
Tm 0.334 0.334 0.663
Tm 0.666 0.666 0.337
Te 0.170 0.170 0.090
Te 0.170 0.170 0.575
Te 0.494 0.494 0.752
Te 0.506 0.506 0.248
Te 0.830 0.830 0.425
Te 0.830 0.830 0.910


A plane-wave DFT calculation with PBE-GGA was carried out for a relaxed NpZnGa3 crystal.

Lattice parameters (Å, degrees): 6.115 6.115 6.115 139.79 139.79 58.17
Positions (direct):
Np 0.000 0.000 0.000
Zn 0.620 0.620 0.000
Ga 0.251 0.751 0.500
Ga 0.396 0.396 0.000
Ga 0.751 0.251 0.500


A plane-wave DFT calculation with PBE-GGA was carried out for a relaxed Ba3ScTa2O9 crystal.

Output
Raw formation energy   -296 kJ per mole of atoms

Lattice parameters (Å, degrees): 5.871 5.871 7.190 90.00 90.00 120.00
Positions (direct):
Ba 0.000 0.000 0.000
Ba 0.333 0.667 0.663
Ba 0.667 0.333 0.337
Sc 0.000 0.000 0.500
Ta 0.333 0.667 0.169
Ta 0.667 0.333 0.831
O 0.000 0.500 0.000
O 0.171 0.343 0.326
O 0.171 0.829 0.326
O 0.343 0.171 0.674
O 0.500 0.000 0.000
O 0.500 0.500 0.000
O 0.657 0.829 0.326
O 0.829 0.171 0.674
O 0.829 0.657 0.674


A plane-wave DFT calculation with PBE-GGA was carried out for a relaxed TaMnCo crystal.

Output
Distance to the lowest polymorph of the same formula   0.000 eV per formula unit

Lattice parameters (Å, degrees): 4.798 4.798 4.798 121.58 119.38 89.18
Positions (direct):
Ta 0.372 0.122 0.250
Ta 0.628 0.878 0.750
Mn 0.000 0.000 0.500
Mn 0.000 0.500 0.000
Co 0.000 0.500 0.500
Co 0.500 0.500 0.000


A plane-wave DFT calculation with PBE-GGA was carried out for a relaxed YMo crystal.

Output
Distance to the lowest polymorph of the same formula   4.587 eV per formula unit

Lattice parameters (Å, degrees): 4.567 4.567 4.567 60.00 60.00 60.00
Positions (direct):
Y 0.000 0.000 0.000
Mo 0.250 0.250 0.250


A plane-wave DFT calculation with PBE-GGA was carried out for a relaxed Ba2MgAl12Rh3 crystal.

Lattice parameters (Å, degrees): 8.126 8.126 8.126 70.37 70.37 70.37
Positions (direct):
Ba 0.104 0.104 0.104
Ba 0.896 0.896 0.896
Mg 0.500 0.500 0.500
Al 0.144 0.626 0.626
Al 0.249 0.249 0.582
Al 0.249 0.582 0.249
Al 0.374 0.374 0.856
Al 0.374 0.856 0.374
Al 0.418 0.751 0.751
Al 0.582 0.249 0.249
Al 0.626 0.144 0.626
Al 0.626 0.626 0.144
Al 0.751 0.418 0.751
Al 0.751 0.751 0.418
Al 0.856 0.374 0.374
Rh 0.000 0.500 0.500
Rh 0.500 0.000 0.500
Rh 0.500 0.500 0.000


A plane-wave DFT calculation with PBE-GGA was carried out for a relaxed Ni8Ge2H3 crystal.

Lattice parameters (Å, degrees): 6.597 6.597 4.419 102.28 102.28 45.05
Positions (direct):
Ni 0.089 0.089 0.389
Ni 0.154 0.661 0.105
Ni 0.339 0.846 0.895
Ni 0.408 0.408 0.610
Ni 0.592 0.592 0.390
Ni 0.661 0.154 0.105
Ni 0.846 0.339 0.895
Ni 0.911 0.911 0.611
Ge 0.249 0.249 0.188
Ge 0.751 0.751 0.812
H 0.249 0.751 0.500
H 0.500 0.500 0.000
H 0.751 0.249 0.500


A plane-wave DFT calculation with PBE-GGA was carried out for a relaxed Nd2MnAs4Pt3 crystal.

Lattice parameters (Å, degrees): 4.214 4.214 10.718 90.00 90.00 90.00
Positions (direct):
Nd 0.000 0.500 0.239
Nd 0.500 0.000 0.761
Mn 0.500 0.500 0.000
As 0.000 0.000 0.500
As 0.000 0.500 0.874
As 0.500 0.000 0.126
As 0.500 0.500 0.500
Pt 0.000 0.000 0.000
Pt 0.000 0.500 0.643
Pt 0.500 0.000 0.357


no.,total magnetic moment (μB per atom),DOS at the Fermi energy (states/eV/cell),E_tot (eV/atom)
1,0.00,0.0,-6.377
2,0.53,3.0,-3.437
3,0.00,3.7,-4.647
4,0.00,2.1,-4.235
5,0.00,2.2,-4.333
6,0.00,51.3,-3.666
7,0.00,0.0,-5.976
8,0.22,22.2,-5.124
9,0.00,14.4,-5.495
10,0.02,3.6,-4.456
11,0.10,13.5,-6.786
12,0.00,4.2,-4.913
13,0.87,7.4,-4.770
14,0.00,3.2,-8.428
15,0.20,7.3,-9.593
16,1.51,2.6,-6.219
17,0.00,8.8,-4.072
18,0.00,8.8,-5.104
19,0.00,7.1,-6.303